# Mg3Fe2O5

A geometry-optimized Mg3Fe2O5 structure (PBE+U, Alexandria). Values from VASP.

Cell and atoms, written as Quantum ESPRESSO input:
```
&SYSTEM
  ibrav = 0, nat = 10, ntyp = 3
/
ATOMIC_SPECIES
O 16.00 O.upf
Mg 24.30 Mg.upf
Fe 55.84 Fe.upf
ATOMIC_POSITIONS crystal
O 0.500 0.500 0.500
O 0.907 0.288 0.898
O 0.093 0.712 0.102
O 0.712 0.890 0.685
O 0.288 0.110 0.315
Mg 0.000 0.500 0.500
Mg 0.206 0.893 0.694
Mg 0.794 0.107 0.306
Fe 0.597 0.706 0.099
Fe 0.403 0.294 0.901
CELL_PARAMETERS angstrom
4.227 0.000 0.000
2.114 4.875 -0.002
2.114 0.011 4.882
```

Computed properties:
The volume comes out at 10.1 Å³ per atom. As for the uncorrected energy: -62.5 eV per cell.